Computed, not measured: Na3HfCl7 after structural relaxation at the PBE level of DFT.

Cell: 6.812 6.812 7.070 Å, 108.60 108.60 97.83°
Fractional coordinates of all 11 atoms:
Na 0.000 0.000 0.000
Na 0.214 0.689 0.392
Na 0.689 0.214 0.392
Hf 0.514 0.514 0.929
Cl 0.145 0.450 0.641
Cl 0.349 0.349 0.129
Cl 0.355 0.822 0.092
Cl 0.450 0.145 0.641
Cl 0.658 0.658 0.706
Cl 0.822 0.355 0.092
Cl 0.836 0.836 0.249

E_form (uncorrected) ... -1.758 eV per atom
SG ... Cm (8)
Spin magnetization ... 0.00 μB/cell
DOS at the Fermi energy ... 0.00 states/eV per cell

***

Computed, not measured: NpU2Ir after structural relaxation at the PBE level of DFT.

Cell: 3.557 3.557 24.100 Å, 90.00 90.00 120.00°
Fractional coordinates of all 12 atoms:
Np 0.000 0.000 0.000
Np 0.333 0.667 0.667
Np 0.667 0.333 0.333
U 0.000 0.000 0.395
U 0.000 0.000 0.605
U 0.333 0.667 0.062
U 0.333 0.667 0.272
U 0.667 0.333 0.728
U 0.667 0.333 0.938
Ir 0.000 0.000 0.500
Ir 0.333 0.667 0.167
Ir 0.667 0.333 0.833

SG ... R-3m (166)
Spin magnetization ... 0.00 μB/cell
DOS at the Fermi energy ... 26.10 states/eV per cell
DFT total energy ... -125.65 eV for the cell shown

***

Computed, not measured: ErTmMg2 after structural relaxation at the PBE level of DFT.

Cell: 7.520 7.520 7.520 Å, 90.00 90.00 90.00°
Fractional coordinates of all 16 atoms:
Er 0.000 0.000 0.000
Er 0.000 0.500 0.500
Er 0.500 0.000 0.500
Er 0.500 0.500 0.000
Tm 0.000 0.000 0.500
Tm 0.000 0.500 0.000
Tm 0.500 0.000 0.000
Tm 0.500 0.500 0.500
Mg 0.250 0.250 0.250
Mg 0.250 0.250 0.750
Mg 0.250 0.750 0.250
Mg 0.250 0.750 0.750
Mg 0.750 0.250 0.250
Mg 0.750 0.250 0.750
Mg 0.750 0.750 0.250
Mg 0.750 0.750 0.750

SG ... Fm-3m (225)
Spin magnetization ... 0.01 μB/cell
DOS at the Fermi energy ... 26.37 states/eV per cell
DFT total energy ... -49.96 eV for the cell shown

***

Computed, not measured: ZrScTcPd after structural relaxation at the PBE level of DFT.

Cell: 3.322 3.322 6.516 Å, 90.00 90.00 90.00°
Fractional coordinates of all 4 atoms:
Zr 0.000 0.000 0.000
Sc 0.000 0.000 0.524
Tc 0.500 0.500 0.770
Pd 0.500 0.500 0.268

SG ... P4mm (99)
Spin magnetization ... 0.00 μB/cell
DOS at the Fermi energy ... 1.14 states/eV per cell
DFT total energy ... -32.95 eV for the cell shown

***

Computed, not measured: CsNa3Hg4F12 after structural relaxation at the PBE level of DFT.

Cell: 7.616 7.616 7.616 Å, 109.47 109.47 109.47°
Fractional coordinates of all 20 atoms:
Cs 0.000 0.000 0.000
Na 0.000 0.500 0.500
Na 0.500 0.000 0.500
Na 0.500 0.500 0.000
Hg 0.000 0.000 0.500
Hg 0.000 0.500 0.000
Hg 0.500 0.000 0.000
Hg 0.500 0.500 0.500
F 0.131 0.818 0.313
F 0.182 0.313 0.495
F 0.182 0.687 0.869
F 0.313 0.131 0.818
F 0.313 0.495 0.182
F 0.495 0.182 0.313
F 0.505 0.818 0.687
F 0.687 0.505 0.818
F 0.687 0.869 0.182
F 0.818 0.313 0.131
F 0.818 0.687 0.505
F 0.869 0.182 0.687

E_form (uncorrected) ... -1.952 eV per atom
SG ... Im-3 (204)
Spin magnetization ... 0.00 μB/cell

***

Computed, not measured: AlSb2Te after structural relaxation at the PBE level of DFT.

Cell: 6.421 10.253 3.359 Å, 90.00 111.36 90.00°
Fractional coordinates of all 8 atoms:
Al 0.000 0.000 0.000
Al 0.500 0.500 0.000
Sb 0.250 0.250 0.500
Sb 0.250 0.750 0.500
Sb 0.750 0.250 0.500
Sb 0.750 0.750 0.500
Te 0.000 0.500 0.000
Te 0.500 0.000 0.000

E_form (uncorrected) ... 0.251 eV per atom
Excess energy over the best structure of this formula in the dataset ... 7.81 kcal/mol of atoms
SG ... C2/m (12)
Spin magnetization ... 0.00 μB/cell
DOS at the Fermi energy ... 3.98 states/eV per cell

***

Computed, not measured: BeCrFe4 after structural relaxation at the PBE level of DFT.

Cell: 4.599 4.599 4.599 Å, 60.00 60.00 60.00°
Fractional coordinates of all 6 atoms:
Be 0.000 0.000 0.000
Cr 0.750 0.750 0.750
Fe 0.374 0.374 0.374
Fe 0.374 0.374 0.878
Fe 0.374 0.878 0.374
Fe 0.878 0.374 0.374

SG ... F-43m (216)
Spin magnetization ... 3.71 μB/cell
DOS at the Fermi energy ... 6.03 states/eV per cell
DFT total energy ... -46.00 eV for the cell shown

***

Computed, not measured: ScAgSe4 after structural relaxation at the PBE level of DFT.

Cell: 7.890 7.890 7.213 Å, 94.81 94.81 126.95°
Fractional coordinates of all 12 atoms:
Sc 0.002 0.998 0.750
Sc 0.998 0.002 0.250
Ag 0.291 0.709 0.750
Ag 0.709 0.291 0.250
Se 0.085 0.786 0.989
Se 0.171 0.342 0.555
Se 0.214 0.915 0.511
Se 0.342 0.171 0.055
Se 0.658 0.829 0.945
Se 0.786 0.085 0.489
Se 0.829 0.658 0.445
Se 0.915 0.214 0.011

E_form (uncorrected) ... -0.630 eV per atom
Excess energy over the best structure of this formula in the dataset ... 0.00 kcal/mol of atoms
SG ... C2/c (15)
Spin magnetization ... 0.00 μB/cell